(1)
## YBeH2O4 (GGA-PBE)

Data for YBeH2O4 after structural relaxation.

Theoretical density   4.02 g/cm3
Size of the total moment   0.978 μB per formula unit
Final energy   -104.1 eV/cell

Lattice parameters (Å, degrees): 4.298 5.361 5.883 90.00 90.00 90.00
Space group I222 (No. 23)
Asymmetric unit:
Y 0.000 0.000 0.000
Be 0.000 0.000 0.500
H 0.000 0.500 0.169
O 0.235 0.368 0.834

(2)
## MgRuSe (GGA-PBE)

Data for MgRuSe after structural relaxation.

Theoretical density   6.13 g/cm3
Size of the total moment   0.000 μB per formula unit
E_form (uncorrected)   0.038 eV per atom
Final energy   -57.0 eV/cell

Lattice parameters (Å, degrees): 6.051 6.051 6.051 90.00 90.00 90.00
Space group F-43m (No. 216)
Asymmetric unit:
Mg 0.000 0.000 0.000
Ru 0.250 0.250 0.250
Se 0.000 0.000 0.500

(3)
## Zr2ZnSe (GGA-PBE)

Data for Zr2ZnSe after structural relaxation.

Theoretical density   7.10 g/cm3
Size of the total moment   0.000 μB per formula unit
E_form (uncorrected)   -0.624 eV per atom
Final energy   -24.4 eV/cell

Lattice parameters (Å, degrees): 3.623 4.105 5.448 90.00 109.29 90.00
Space group Pm (No. 6)
Asymmetric unit:
Zr 0.000 0.000 0.000
Zr 0.291 0.500 0.582
Zn 0.741 0.000 0.479
Se 0.563 0.500 0.128

(4)
## ZrTcSe (GGA-PBE)

Data for ZrTcSe after structural relaxation.

Theoretical density   8.40 g/cm3
Size of the total moment   0.000 μB per formula unit
E_form (uncorrected)   -0.408 eV per atom
Final energy   -23.6 eV/cell

Lattice parameters (Å, degrees): 4.3226 4.3226 3.2781 90.00 90.00 120.00
Space group P-6m2 (No. 187)
Asymmetric unit:
Zr 0.0000 0.0000 0.0000
Tc 0.6667 0.3333 0.5000
Se 0.3333 0.6667 0.5000

Look up the size of the total moment of the second one.
0.000 μB per formula unit

final energy of number 2 (MgRuSe)?
-57.0 eV/cell

The highest size of the total moment belongs to which entry?
YBeH2O4